# Sm2Sc4As3N2, relaxed, DFT GGA-PBE
# Uncorrected formation energy   -15.67 eV per formula unit
data_Sm2Sc4As3N2
_cell_length_a 4.286
_cell_length_b 4.286
_cell_length_c 23.280
_cell_angle_alpha 90.00
_cell_angle_beta 90.00
_cell_angle_gamma 90.00
_symmetry_space_group_name_H-M 'I 4/m m m'
_symmetry_Int_Tables_number 139
_symmetry_space_group_name_Hall '-I 4 2'
loop_
_atom_site_label
_atom_site_type_symbol
_atom_site_fract_x
_atom_site_fract_y
_atom_site_fract_z
_atom_site_occupancy
Sm1 Sm 0.000 0.000 0.194 1
Sc1 Sc 0.000 0.500 0.078 1
As1 As 0.000 0.000 0.328 1
As2 As 0.000 0.000 0.500 1
N1 N 0.000 0.000 0.091 1